# 1
# Er4Pt7Au

Er4Pt7Au after structural relaxation (PBE-GGA, Alexandria via LeMat-Bulk).

a = 5.4520 Å, b = 5.5476 Å, c = 8.1920 Å
α = 86.92°, β = 79.38°, γ = 75.01°
Closest atoms and distances in Å follow each position.
Space group P-1 (No. 2)
One atom of each set of equivalent atoms:
Er 0.0447 0.3462 0.2044 (multiplicity 2)  7 Pt 2.78-3.04, 1 Au 3.00
Er 0.3774 0.7293 0.3548 (multiplicity 2)  7 Pt 2.80-3.12
Pt 0.0139 0.8479 0.1329 (multiplicity 2)  4 Pt 2.68-2.91, 3 Er 2.78-2.91, 1 Au 2.99
Pt 0.1627 0.2600 0.5436 (multiplicity 2)  4 Pt 2.74-2.93, 4 Er 2.80-2.95
Pt 0.4175 0.8156 0.7096 (multiplicity 2)  4 Pt 2.75-2.91, 1 Au 2.79, 5 Er 2.85-3.04
Pt 0.5000 0.5000 0.0000 (multiplicity 1)  2 Au 2.77, 4 Pt 2.91, 2 Er 3.02
Au 0.5000 0.0000 0.0000 (multiplicity 1)  8 Pt 2.77-3.09, 2 Er 3.00

Calculated formation energy: -1.056 eV per atom
Polymorph energy (0 for the lowest one): 0.0 meV per atom

=====

# 2
# ErPt2Au2

ErPt2Au2 after structural relaxation (PBE-GGA, Alexandria via LeMat-Bulk).

a = 13.2222 Å, b = 4.9751 Å, c = 7.6801 Å
α = 90.00°, β = 125.29°, γ = 90.00°
Closest atoms and distances in Å follow each position.
Space group C2/c (No. 15)
One atom of each set of equivalent atoms:
Er 0.0000 0.1805 0.2500 (multiplicity 4)  6 Pt 2.85-2.88, 4 Au 3.07-3.13
Pt 0.0748 0.3211 0.9799 (multiplicity 8)  4 Au 2.66-2.89, 2 Pt 2.81-2.88, 3 Er 2.85-2.88
Au 0.1797 0.2084 0.7482 (multiplicity 8)  4 Pt 2.66-2.89

Calculated formation energy: -0.541 eV per atom

=====

# 3
# SmErPtAu

SmErPtAu after structural relaxation (PBE-GGA, Alexandria via LeMat-Bulk).

a = 7.1389 Å, b = 7.1389 Å, c = 7.1389 Å
α = 90.00°, β = 90.00°, γ = 90.00°
Closest atoms and distances in Å follow each position.
Space group F-43m (No. 216)
One atom of each set of equivalent atoms:
Sm 0.0000 0.0000 0.0000 (multiplicity 4)  4 Pt 3.09, 4 Au 3.09
Er 0.0000 0.0000 0.5000 (multiplicity 4)  4 Pt 3.09, 4 Au 3.09
Pt 0.2500 0.2500 0.2500 (multiplicity 4)  4 Er 3.09, 4 Sm 3.09
Au 0.2500 0.2500 0.7500 (multiplicity 4)  4 Er 3.09, 4 Sm 3.09

Calculated formation energy: -1.001 eV per atom
Polymorph energy (0 for the lowest one): 52.6 meV per atom

=====

# 4
# SmErPtAu

SmErPtAu after structural relaxation (PBE-GGA, Alexandria via LeMat-Bulk).

a = 4.6264 Å, b = 3.8000 Å, c = 10.7395 Å
α = 90.00°, β = 90.00°, γ = 90.00°
Closest atoms and distances in Å follow each position.
Space group Amm2 (No. 38)
One atom of each set of equivalent atoms:
Sm 0.0000 0.0000 0.0000 (multiplicity 2)  3 Pt 2.91-3.11, 4 Au 3.05
Er 0.5000 0.0000 0.2761 (multiplicity 2)  3 Au 2.98-3.05, 4 Pt 3.04
Pt 0.0000 0.0000 0.7290 (multiplicity 2)  3 Sm 2.91-3.11, 2 Au 2.98, 4 Er 3.04
Au 0.5000 0.0000 0.5538 (multiplicity 2)  3 Er 2.98-3.05, 2 Pt 2.98, 4 Sm 3.05

Calculated formation energy: -1.054 eV per atom
Polymorph energy (0 for the lowest one): 0.0 meV per atom

=====

# 5
# Er8Te4Pt3Au

Er8Te4Pt3Au after structural relaxation (PBE-GGA, Alexandria via LeMat-Bulk).

a = 8.2321 Å, b = 8.2321 Å, c = 21.9019 Å
α = 90.00°, β = 90.00°, γ = 120.00°
Closest atoms and distances in Å follow each position.
Space group R-3m (No. 166, hexagonal axes)
One atom of each set of equivalent atoms:
Er 0.0000 0.0000 0.2373 (multiplicity 6)  3 Pt 2.84, 3 Te 3.17
Er 0.0088 0.5044 0.7612 (multiplicity 18)  2 Pt 2.83, 1 Au 2.91, 1 Te 3.10
Te 0.0000 0.0000 0.0000 (multiplicity 3)  6 Er 3.10-3.11
Te 0.0000 0.5000 0.0000 (multiplicity 9)  6 Er 3.17-3.18
Pt 0.0000 0.5000 0.5000 (multiplicity 9)  6 Er 2.83-2.84
Au 0.0000 0.0000 0.5000 (multiplicity 3)  6 Er 2.91

Energy relative to the elements, uncorrected: -1.211 eV/atom

=====

# 6
# Er6Te3Pt2Au

Er6Te3Pt2Au after structural relaxation (PBE-GGA, Alexandria via LeMat-Bulk).

a = 7.1434 Å, b = 12.3779 Å, c = 7.6821 Å
α = 90.00°, β = 108.05°, γ = 90.00°
Closest atoms and distances in Å follow each position.
Space group C2/m (No. 12)
One atom of each set of equivalent atoms:
Er 0.2232 0.0000 0.2134 (multiplicity 4)  2 Pt 2.81, 1 Au 2.93, 1 Te 3.09
Er 0.2463 0.3264 0.2173 (multiplicity 8)  2 Pt 2.81-2.82, 1 Au 2.95, 1 Te 3.11
Te 0.0000 0.0000 0.5000 (multiplicity 2)  6 Er 3.09-3.19
Te 0.0000 0.3378 0.5000 (multiplicity 4)  6 Er 3.11-3.19
Pt 0.0000 0.1677 0.0000 (multiplicity 4)  6 Er 2.81-2.82
Au 0.0000 0.5000 0.0000 (multiplicity 2)  6 Er 2.93-2.95

Energy relative to the elements, uncorrected: -1.198 eV/atom

=====

One value per record, in order, for uncorrected energy: -76.48; -103.61; -90.42; -45.63; -269.52; -133.08 eV for the cell shown.